BaMnIr (PBE-GGA, relaxed); DFT total energy = -39.18 eV/cell; symmetry = No. 2; ΔH_f (0 K) = 121.8 meV per atom; energy above the most stable polymorph in this dataset = 108 meV/atom; theoretical density = 7.64 g/cm³
1.0
4.337 0.000 0.000
0.706 4.283 0.000
0.162 0.135 9.001
Ba Mn Ir
2 2 2
Cartesian
1.290 1.100 2.663
3.914 3.318 6.338
1.906 3.188 9.000
3.298 1.230 0.001
1.232 1.038 8.025
3.973 3.380 0.976

***

RuSe3F (PBE-GGA, relaxed); DFT total energy = -17.00 eV/cell; symmetry = No. 221; energy above the most stable polymorph in this dataset = 630 meV/atom; E_form (uncorrected) = 0.920 eV/atom; theoretical density = 6.45 g/cm³
1.0
4.513 0.000 0.000
0.000 4.513 0.000
0.000 0.000 4.513
Ru Se F
1 3 1
Cartesian
0.000 0.000 0.000
0.000 2.256 2.256
2.256 0.000 2.256
2.256 2.256 0.000
2.256 2.256 2.256

***

Cr3PS (PBE-GGA, relaxed); DFT total energy = -35.75 eV/cell; symmetry = No. 221; energy above the most stable polymorph in this dataset = 0 meV/atom; E_form (uncorrected) = 0.532 eV/atom; theoretical density = 3.82 g/cm³
1.0
4.566 0.000 0.000
0.000 4.566 0.000
0.000 0.000 4.566
Cr P S
3 1 1
Cartesian
0.000 0.000 2.283
0.000 2.283 0.000
2.283 0.000 0.000
0.000 0.000 0.000
2.283 2.283 2.283

***

Q: Look up the theoretical density of the second one.
A: 6.45 g/cm³

***

Q: Which of these has the highest DFT total energy?
A: RuSe3F

***

Q: Which value of theoretical density does entry 2 give?
A: 6.45 g/cm³

***

Q: The highest energy above the most stable polymorph in this dataset belongs to which entry?
A: RuSe3F